Record 1
Below is crystalline Dy6TlGe2S3 at its relaxed geometry, with properties calculated at the PBE level.

```
data_Dy6TlGe2S3
_cell_length_a 18.075
_cell_length_b 4.051
_cell_length_c 8.261
_cell_angle_alpha 90.00
_cell_angle_beta 108.06
_cell_angle_gamma 90.00
_space_group_name_H-M_alt 'C 1 2/m 1'
_space_group_IT_number 12
loop_
_space_group_symop_operation_xyz
'x,y,z'
'-x,-y,-z'
'-x,y,-z'
'x,-y,z'
'x+1/2,y+1/2,z'
'-x+1/2,-y+1/2,-z'
'-x+1/2,y+1/2,-z'
'x+1/2,-y+1/2,z'
loop_
_atom_site_label
_atom_site_fract_x
_atom_site_fract_y
_atom_site_fract_z
Dy1 0.007 0.000 0.227
Dy2 0.169 0.500 0.073
Dy3 0.175 0.500 0.579
Tl1 0.000 0.500 0.500
Ge1 0.161 0.000 0.818
S1 0.000 0.500 0.000
S2 0.168 0.000 0.325
```

E_form (uncorrected): -1320 meV/atom
Crystal system: monoclinic

Record 2
Below is crystalline Nd4SbPbSe2 at its relaxed geometry, with properties calculated at the PBE level.

```
data_Nd4SbPbSe2
_cell_length_a 7.599
_cell_length_b 4.418
_cell_length_c 7.636
_cell_angle_alpha 90.00
_cell_angle_beta 109.57
_cell_angle_gamma 90.00
_space_group_name_H-M_alt 'P 1 2/m 1'
_space_group_IT_number 10
loop_
_space_group_symop_operation_xyz
'x,y,z'
'-x,-y,-z'
'-x,y,-z'
'x,-y,z'
loop_
_atom_site_label
_atom_site_fract_x
_atom_site_fract_y
_atom_site_fract_z
Nd1 0.240 0.000 0.246
Nd2 0.241 0.500 0.747
Sb1 0.500 0.000 0.000
Pb1 0.500 0.500 0.500
Se1 0.000 0.000 0.500
Se2 0.000 0.500 0.000
```

E_form (uncorrected): -1358 meV/atom
Crystal system: monoclinic

Record 3
Below is crystalline I3BrCl at its relaxed geometry, with properties calculated at the PBE level.

```
data_I3BrCl
_cell_length_a 5.763
_cell_length_b 5.763
_cell_length_c 5.763
_cell_angle_alpha 90.00
_cell_angle_beta 90.00
_cell_angle_gamma 90.00
_space_group_name_H-M_alt 'P m -3 m'
_space_group_IT_number 221
_space_group_name_Hall '-P 4 2 3'
loop_
_atom_site_label
_atom_site_fract_x
_atom_site_fract_y
_atom_site_fract_z
I1 0.000 0.000 0.500
Br1 0.500 0.500 0.500
Cl1 0.000 0.000 0.000
```

Energy above the most stable polymorph in this dataset: 594 meV per atom
E_form (uncorrected): 552 meV/atom
Crystal system: cubic

Record 4
Below is crystalline LiSn2Ru at its relaxed geometry, with properties calculated at the PBE level.

```
data_LiSn2Ru
_cell_length_a 4.4108
_cell_length_b 4.4108
_cell_length_c 21.5595
_cell_angle_alpha 90.00
_cell_angle_beta 90.00
_cell_angle_gamma 120.00
_space_group_name_H-M_alt 'R -3 m'
_space_group_IT_number 166
_space_group_name_Hall '-R 3 2"'
loop_
_atom_site_label
_atom_site_fract_x
_atom_site_fract_y
_atom_site_fract_z
Li1 0.0000 0.0000 0.0000
Sn1 0.0000 0.0000 0.1260
Ru1 0.0000 0.0000 0.5000
```

Crystal system: trigonal
ΔH_f (0 K): 0.3016 eV per atom

Record 5
Below is crystalline MgNb3Br at its relaxed geometry, with properties calculated at the PBE level.

```
data_MgNb3Br
_cell_length_a 4.881
_cell_length_b 4.881
_cell_length_c 4.881
_cell_angle_alpha 90.00
_cell_angle_beta 90.00
_cell_angle_gamma 90.00
_space_group_name_H-M_alt 'P m -3 m'
_space_group_IT_number 221
_space_group_name_Hall '-P 4 2 3'
loop_
_atom_site_label
_atom_site_fract_x
_atom_site_fract_y
_atom_site_fract_z
Mg1 0.000 0.000 0.000
Nb1 0.000 0.000 0.500
Br1 0.500 0.500 0.500
```

Energy above the most stable polymorph in this dataset: 870 meV per atom
E_form (uncorrected): 1870 meV/atom
Crystal system: cubic

Record 6
Below is crystalline ScMnMo2 at its relaxed geometry, with properties calculated at the PBE level.

```
data_ScMnMo2
_cell_length_a 3.225
_cell_length_b 4.513
_cell_length_c 8.699
_cell_angle_alpha 90.00
_cell_angle_beta 90.00
_cell_angle_gamma 90.00
_space_group_name_H-M_alt 'C m m 2'
_space_group_IT_number 35
loop_
_space_group_symop_operation_xyz
'x,y,z'
'-x,-y,z'
'-x,y,z'
'x,-y,z'
'x+1/2,y+1/2,z'
'-x+1/2,-y+1/2,z'
'-x+1/2,y+1/2,z'
'x+1/2,-y+1/2,z'
loop_
_atom_site_label
_atom_site_fract_x
_atom_site_fract_y
_atom_site_fract_z
Sc1 0.000 0.000 0.000
Mn1 0.000 0.500 0.754
Mo1 0.000 0.000 0.534
Mo2 0.000 0.500 0.282
```

Energy above the most stable polymorph in this dataset: 134 meV per atom
Crystal system: orthorhombic
ΔH_f (0 K): 0.1843 eV per atom

Record 7
Below is crystalline LiNb2H6 at its relaxed geometry, with properties calculated at the PBE level.

```
data_LiNb2H6
_cell_length_a 4.612
_cell_length_b 5.589
_cell_length_c 10.230
_cell_angle_alpha 90.00
_cell_angle_beta 90.00
_cell_angle_gamma 90.00
_space_group_name_H-M_alt 'F m m m'
_space_group_IT_number 69
_space_group_name_Hall '-F 2 2'
loop_
_atom_site_label
_atom_site_fract_x
_atom_site_fract_y
_atom_site_fract_z
Li1 0.000 0.000 0.000
Nb1 0.000 0.000 0.332
H1 0.000 0.154 0.161
H2 0.000 0.166 0.500
```

Energy: -4.72 eV/atom
Crystal system: orthorhombic

Record 8
Below is crystalline AcEuPb2 at its relaxed geometry, with properties calculated at the PBE level.

```
data_AcEuPb2
_cell_length_a 3.789
_cell_length_b 3.789
_cell_length_c 9.385
_cell_angle_alpha 90.00
_cell_angle_beta 90.00
_cell_angle_gamma 90.00
_space_group_name_H-M_alt 'P 4/m m m'
_space_group_IT_number 123
_space_group_name_Hall '-P 4 2'
loop_
_atom_site_label
_atom_site_fract_x
_atom_site_fract_y
_atom_site_fract_z
Ac1 0.000 0.000 0.000
Eu1 0.000 0.000 0.500
Pb1 0.500 0.500 0.258
```

Crystal system: tetragonal
ΔH_f (0 K): -0.5130 eV per atom

Record 9
Below is crystalline PClF3 at its relaxed geometry, with properties calculated at the PBE level.

```
data_PClF3
_cell_length_a 4.065
_cell_length_b 4.065
_cell_length_c 4.065
_cell_angle_alpha 90.00
_cell_angle_beta 90.00
_cell_angle_gamma 90.00
_space_group_name_H-M_alt 'P m -3 m'
_space_group_IT_number 221
_space_group_name_Hall '-P 4 2 3'
loop_
_atom_site_label
_atom_site_fract_x
_atom_site_fract_y
_atom_site_fract_z
P1 0.000 0.000 0.000
Cl1 0.500 0.500 0.500
F1 0.000 0.000 0.500
```

Energy above the most stable polymorph in this dataset: 904 meV per atom
E_form (uncorrected): -907 meV/atom
Crystal system: cubic

Record 10
Below is crystalline YCdAg at its relaxed geometry, with properties calculated at the PBE level.

```
data_YCdAg
_cell_length_a 4.8917
_cell_length_b 4.8917
_cell_length_c 3.3712
_cell_angle_alpha 90.00
_cell_angle_beta 90.00
_cell_angle_gamma 120.00
_space_group_name_H-M_alt 'P -6 m 2'
_space_group_IT_number 187
_space_group_name_Hall 'P -6 2'
loop_
_atom_site_label
_atom_site_fract_x
_atom_site_fract_y
_atom_site_fract_z
Y1 0.0000 0.0000 0.0000
Cd1 0.3333 0.6667 0.5000
Ag1 0.6667 0.3333 0.5000
```

Crystal system: hexagonal
ΔH_f (0 K): -0.2987 eV per atom

Record 11
Below is crystalline TbSn3Pd2 at its relaxed geometry, with properties calculated at the PBE level.

```
data_TbSn3Pd2
_cell_length_a 16.611
_cell_length_b 4.446
_cell_length_c 8.450
_cell_angle_alpha 90.00
_cell_angle_beta 120.54
_cell_angle_gamma 90.00
_space_group_name_H-M_alt 'C 1 2/m 1'
_space_group_IT_number 12
loop_
_space_group_symop_operation_xyz
'x,y,z'
'-x,-y,-z'
'-x,y,-z'
'x,-y,z'
'x+1/2,y+1/2,z'
'-x+1/2,-y+1/2,-z'
'-x+1/2,y+1/2,-z'
'x+1/2,-y+1/2,z'
loop_
_atom_site_label
_atom_site_fract_x
_atom_site_fract_y
_atom_site_fract_z
Tb1 0.124 0.000 0.124
Sn1 0.000 0.000 0.336
Sn2 0.174 0.500 0.468
Sn3 0.174 0.500 0.881
Pd1 0.000 0.500 0.162
Pd2 0.213 0.000 0.713
```

Crystal system: monoclinic
ΔH_f (0 K): -0.5874 eV per atom

Record 12
Below is crystalline V3TcB at its relaxed geometry, with properties calculated at the PBE level.

```
data_V3TcB
_cell_length_a 4.458
_cell_length_b 4.458
_cell_length_c 4.458
_cell_angle_alpha 90.00
_cell_angle_beta 90.00
_cell_angle_gamma 90.00
_space_group_name_H-M_alt 'P m -3 m'
_space_group_IT_number 221
_space_group_name_Hall '-P 4 2 3'
loop_
_atom_site_label
_atom_site_fract_x
_atom_site_fract_y
_atom_site_fract_z
V1 0.000 0.000 0.500
Tc1 0.000 0.000 0.000
B1 0.500 0.500 0.500
```

Energy above the most stable polymorph in this dataset: 1704 meV per atom
Crystal system: cubic
ΔH_f (0 K): 1.8138 eV per atom